SmZn2Rh: relaxed, GGA-PBE.

- Total magnetic moment: 0.00 μB per formula unit
- V: 235.9 Å³/cell
- Energy: -4.0664 eV/atom
- Energy of formation from the pure elements: -0.41 eV per atom

a = 4.2946 Å, b = 4.2946 Å, c = 14.7694 Å
α = 90.00°, β = 90.00°, γ = 120.00°
Last column: nearest neighbours and their distance in Å.
Positions (direct):
Sm  0.0000  0.0000  0.0000  8 Zn 3.07-3.11
Sm  0.3333  0.6667  0.6667  8 Zn 3.07-3.11
Sm  0.6667  0.3333  0.3333  8 Zn 3.07-3.11
Zn  0.0000  0.0000  0.2103  3 Rh 2.56, 3 Zn 2.79
Zn  0.0000  0.0000  0.7897  3 Rh 2.56, 3 Zn 2.79
Zn  0.3333  0.6667  0.4564  3 Rh 2.56, 3 Zn 2.79
Zn  0.3333  0.6667  0.8769  3 Rh 2.56, 3 Zn 2.79
Zn  0.6667  0.3333  0.1231  3 Rh 2.56, 3 Zn 2.79
Zn  0.6667  0.3333  0.5436  3 Rh 2.56, 3 Zn 2.79
Rh  0.0000  0.0000  0.5000  6 Zn 2.56
Rh  0.3333  0.6667  0.1667  6 Zn 2.56
Rh  0.6667  0.3333  0.8333  6 Zn 2.56

=====

MgAs4P6: relaxed, GGA-PBE.

- Total magnetic moment: 0.00 μB per formula unit
- V: 220.4 Å³/cell
- Energy: -4.5336 eV/atom
- Energy of formation from the pure elements: 0.25 eV per atom

a = 3.1198 Å, b = 10.0538 Å, c = 10.0538 Å
α = 44.33°, β = 90.00°, γ = 90.00°
Last column: nearest neighbours and their distance in Å.
Positions (direct):
Mg  0.0000  0.0000  0.0000  6 P 2.66-2.76
As  0.0000  0.7033  0.7033  3 P 2.43-2.65
As  0.5000  0.1753  0.1753  4 P 2.44
As  0.5000  0.2380  0.5924  2 P 2.37-2.52
As  0.5000  0.5924  0.2380  2 P 2.37-2.52
P  0.0000  0.0799  0.4172  3 As 2.44-2.65, 1 P 2.56
P  0.0000  0.4172  0.0799  3 As 2.44-2.65, 1 P 2.56
P  0.0000  0.5730  0.5730  4 P 2.34, 1 As 2.43
P  0.5000  0.3244  0.7585  2 P 2.34, 1 As 2.37
P  0.5000  0.7585  0.3244  2 P 2.34, 1 As 2.37
P  0.5000  0.8840  0.8840  2 As 2.52, 2 Mg 2.66

=====

LaSiBPd6: relaxed, GGA-PBE.

- Total magnetic moment: 0.00 μB per formula unit
- V: 326.7 Å³/cell
- E_form (uncorrected): -4.10 eV/f.u.
- Energy: -5.8096 eV/atom

a = 7.7914 Å, b = 7.7914 Å, c = 7.7914 Å
α = 125.64°, β = 116.27°, γ = 88.55°
Last column: nearest neighbours and their distance in Å.
Positions (direct):
La  0.4260  0.1760  0.2500  6 Pd 3.06-3.20
La  0.5740  0.8240  0.7500  6 Pd 3.06-3.20
Si  0.0000  0.0000  0.5000  6 Pd 2.36-2.37
Si  0.0000  0.5000  0.0000  6 Pd 2.36-2.37
B  0.0000  0.5000  0.5000  6 Pd 2.08-2.13
B  0.5000  0.5000  0.0000  6 Pd 2.08-2.13
Pd  0.1061  0.4103  0.2656  1 B 2.08
Pd  0.1061  0.8405  0.6957  1 B 2.08
Pd  0.1389  0.8889  0.2500  2 Si 2.36
Pd  0.2987  0.5487  0.7500  2 B 2.13
Pd  0.3553  0.1595  0.7656  1 B 2.08
Pd  0.3553  0.5897  0.1957  1 B 2.08
Pd  0.6447  0.4103  0.8043  1 B 2.08
Pd  0.6447  0.8405  0.2344  1 B 2.08
Pd  0.7013  0.4513  0.2500  2 B 2.13
Pd  0.8611  0.1111  0.7500  2 Si 2.36
Pd  0.8939  0.1595  0.3043  1 B 2.08
Pd  0.8939  0.5897  0.7344  1 B 2.08

=====

Pu8Ru2Rh: relaxed, GGA-PBE.

- Total magnetic moment: 0.76 μB per formula unit
- V: 225.8 Å³/cell
- Energy: -12.8572 eV/atom
- Energy of formation from the pure elements: -0.08 eV per atom

a = 7.3908 Å, b = 7.3908 Å, c = 6.8203 Å
α = 111.11°, β = 111.11°, γ = 41.04°
Last column: nearest neighbours and their distance in Å.
Positions (direct):
Pu  0.0486  0.0486  0.2478  1 Ru 2.73, 2 Pu 2.88-2.94
Pu  0.1536  0.1536  0.7040  2 Pu 2.60-2.88, 1 Ru 2.73
Pu  0.3130  0.3130  0.5905  1 Pu 2.60, 1 Ru 2.87, 1 Rh 2.88
Pu  0.3984  0.3984  0.0585  3 Ru 2.74-3.07, 1 Rh 2.79, 1 Pu 2.95
Pu  0.6016  0.6016  0.9415  3 Ru 2.74-3.07, 1 Rh 2.79, 1 Pu 2.95
Pu  0.6870  0.6870  0.4095  1 Pu 2.60, 1 Ru 2.87, 1 Rh 2.88
Pu  0.8464  0.8464  0.2960  2 Pu 2.60-2.88, 1 Ru 2.73
Pu  0.9514  0.9514  0.7522  1 Ru 2.73, 2 Pu 2.88-2.94
Ru  0.2179  0.2179  0.1358  4 Pu 2.73-2.87
Ru  0.7821  0.7821  0.8642  4 Pu 2.73-2.87
Rh  0.5000  0.5000  0.5000  4 Pu 2.79-2.88

=====

MgBeTl3: relaxed, GGA-PBE.

- Total magnetic moment: 0.00 μB per formula unit
- Distance to the lowest polymorph of the same formula: 0.486 eV per atom
- V: 167.6 Å³/cell
- Energy: -1.6709 eV/atom
- Energy of formation from the pure elements: 0.81 eV per atom

a = 5.5132 Å, b = 5.5132 Å, c = 5.5132 Å
α = 90.00°, β = 90.00°, γ = 90.00°
Last column: nearest neighbours and their distance in Å.
Positions (direct):
Mg  0.0000  0.0000  0.0000  6 Tl 2.76
Be  0.5000  0.5000  0.5000  12 Tl 3.90
Tl  0.0000  0.0000  0.5000  2 Mg 2.76
Tl  0.0000  0.5000  0.0000  2 Mg 2.76
Tl  0.5000  0.0000  0.0000  2 Mg 2.76

=====

BeInPbO4: relaxed, GGA-PBE.

- Total magnetic moment: 0.00 μB per formula unit
- V: 176.5 Å³/cell
- E_form (uncorrected): -9.17 eV/f.u.
- Energy: -5.5967 eV/atom

a = 6.2988 Å, b = 6.2988 Å, c = 6.2988 Å
α = 120.24°, β = 119.94°, γ = 89.84°
Last column: nearest neighbours and their distance in Å.
Positions (direct):
Be  0.3870  0.1370  0.2500  2 O 1.69
Be  0.6130  0.8630  0.7500  2 O 1.69
In  0.0000  0.5000  0.5000  6 O 2.24-2.27
In  0.5000  0.5000  0.0000  6 O 2.24-2.27
Pb  0.0000  0.0000  0.5000  6 O 2.35-2.37
Pb  0.0000  0.5000  0.0000  6 O 2.35-2.37
O  0.2631  0.2593  0.4962  1 Be 1.90
O  0.2631  0.7668  0.0038  1 Be 1.90
O  0.2782  0.2463  0.0319  1 Be 1.69
O  0.2855  0.7537  0.5319  1 Be 1.69
O  0.7145  0.2463  0.4681  1 Be 1.69
O  0.7218  0.7537  0.9681  1 Be 1.69
O  0.7369  0.2332  0.9962  1 Be 1.90
O  0.7369  0.7407  0.5038  1 Be 1.90

=====

PaMnPd6: relaxed, GGA-PBE.

- Total magnetic moment: 4.66 μB per formula unit
- Distance to the lowest polymorph of the same formula: 0.000 eV per atom
- V: 132.3 Å³/cell
- Energy: -6.8086 eV/atom
- Energy of formation from the pure elements: -0.58 eV per atom

a = 4.0802 Å, b = 4.0802 Å, c = 7.9468 Å
α = 90.00°, β = 90.00°, γ = 90.00°
Last column: nearest neighbours and their distance in Å.
Positions (direct):
Pa  0.0000  0.0000  0.0000  12 Pd 2.87-2.89
Mn  0.0000  0.0000  0.5000  12 Pd 2.82-2.89
Pd  0.0000  0.5000  0.2542  2 Mn 2.82, 8 Pd 2.82-2.89, 2 Pa 2.87
Pd  0.0000  0.5000  0.7458  2 Mn 2.82, 8 Pd 2.82-2.89, 2 Pa 2.87
Pd  0.5000  0.0000  0.2542  2 Mn 2.82, 8 Pd 2.82-2.89, 2 Pa 2.87
Pd  0.5000  0.0000  0.7458  2 Mn 2.82, 8 Pd 2.82-2.89, 2 Pa 2.87
Pd  0.5000  0.5000  0.0000  8 Pd 2.87, 4 Pa 2.89
Pd  0.5000  0.5000  0.5000  8 Pd 2.82, 4 Mn 2.89

=====

BaSrBr4: relaxed, GGA-PBE.

- Total magnetic moment: 0.00 μB per formula unit
- V: 209.3 Å³/cell
- E_form (uncorrected): -5.50 eV/f.u.
- Energy: -2.6327 eV/atom

a = 6.6642 Å, b = 6.6642 Å, c = 6.6642 Å
α = 60.00°, β = 60.00°, γ = 60.00°
Last column: nearest neighbours and their distance in Å.
Positions (direct):
Ba  0.0000  0.0000  0.0000  12 Br 3.91, 4 Sr 4.08
Sr  0.2500  0.2500  0.2500  12 Br 3.91, 4 Ba 4.08
Br  0.1257  0.6248  0.6248  6 Br 3.33-3.34
Br  0.6248  0.1257  0.6248  6 Br 3.33-3.34
Br  0.6248  0.6248  0.1257  6 Br 3.33-3.34
Br  0.6248  0.6248  0.6248  6 Br 3.33-3.34